The following is a GGA-PBE calculation of Pr2Nd3Er3 after structural relaxation, from Alexandria via LeMat-Bulk.

a = 5.111 Å, b = 5.142 Å, c = 20.473 Å
α = 90.00°, β = 90.00°, γ = 90.00°
Space group Immm (No. 71)
Symmetry-distinct sites (fractional):
Pr: 0.000 0.000 0.250 [4 per cell]
Nd: 0.000 0.000 0.000 [2 per cell]
Nd: 0.000 0.500 0.122 [4 per cell]
Er: 0.000 0.000 0.500 [2 per cell]
Er: 0.000 0.500 0.376 [4 per cell]

## Properties
Energy relative to the lowest polymorph listed for this composition   0 meV/atom
Formation energy from the elements   0.0195 eV/atom

---

The following is a GGA-PBE calculation of ZrTlPt2 after structural relaxation, from Alexandria via LeMat-Bulk.

a = 3.414 Å, b = 3.414 Å, c = 6.870 Å
α = 90.00°, β = 90.00°, γ = 90.00°
Space group P4/mmm (No. 123)
Symmetry-distinct sites (fractional):
Zr: 0.000 0.000 0.000 [1 per cell]
Tl: 0.000 0.000 0.500 [1 per cell]
Pt: 0.500 0.500 0.213 [2 per cell]

## Properties
Formation energy from the elements   -0.6102 eV/atom

---

The following is a GGA-PBE calculation of LiTa2P after structural relaxation, from Alexandria via LeMat-Bulk.

a = 6.908 Å, b = 6.908 Å, c = 5.465 Å
α = 90.00°, β = 90.00°, γ = 90.00°
Space group I-42d (No. 122)
Symmetry-distinct sites (fractional):
Li: 0.000 0.000 0.000 [4 per cell]
Ta: 0.226 0.250 0.625 [8 per cell]
P: 0.000 0.000 0.500 [4 per cell]

## Properties
Formation energy from the elements   0.1308 eV/atom

---

The following is a GGA-PBE calculation of CsTlCuCl6 after structural relaxation, from Alexandria via LeMat-Bulk.

a = 6.573 Å, b = 6.576 Å, c = 7.693 Å
α = 94.81°, β = 94.77°, γ = 111.56°
Space group P1 (No. 1)
Symmetry-distinct sites (fractional):
Cs: 0.000 0.000 0.000 [1 per cell]
Tl: 0.634 0.366 0.500 [1 per cell]
Cu: 0.285 0.717 0.499 [1 per cell]
Cl: 0.323 0.046 0.652 [1 per cell]
Cl: 0.328 0.461 0.302 [1 per cell]
Cl: 0.539 0.673 0.697 [1 per cell]
Cl: 0.585 0.064 0.259 [1 per cell]
Cl: 0.935 0.414 0.742 [1 per cell]
Cl: 0.954 0.677 0.347 [1 per cell]

## Properties
Formation energy (no corrections)   -0.9287 eV/atom

---

The following is a GGA-PBE calculation of Ca2HfRh after structural relaxation, from Alexandria via LeMat-Bulk.

a = 10.154 Å, b = 10.154 Å, c = 4.990 Å
α = 90.00°, β = 90.00°, γ = 90.00°
Space group I-42d (No. 122)
Symmetry-distinct sites (fractional):
Ca: 0.116 0.750 0.125 [8 per cell]
Hf: 0.000 0.000 0.500 [4 per cell]
Rh: 0.000 0.000 0.000 [4 per cell]

## Properties
Energy relative to the lowest polymorph listed for this composition   0 meV/atom
Formation energy from the elements   0.2138 eV/atom

---

The following is a GGA-PBE calculation of Ho3SnSO after structural relaxation, from Alexandria via LeMat-Bulk.

a = 8.595 Å, b = 3.879 Å, c = 8.835 Å
α = 90.00°, β = 103.64°, γ = 90.00°
Space group P2_1/m (No. 11)
Symmetry-distinct sites (fractional):
Ho: 0.067 0.250 0.343 [2 per cell]
Ho: 0.331 0.250 0.980 [2 per cell]
Ho: 0.389 0.750 0.643 [2 per cell]
Sn: 0.314 0.750 0.273 [2 per cell]
S: 0.160 0.250 0.660 [2 per cell]
O: 0.410 0.750 0.902 [2 per cell]

## Properties
Formation energy (no corrections)   -1.8624 eV/atom

---

The following is a GGA-PBE calculation of Mn2NbV2 after structural relaxation, from Alexandria via LeMat-Bulk.

a = 6.934 Å, b = 6.934 Å, c = 2.836 Å
α = 90.00°, β = 90.00°, γ = 90.00°
Space group P4/mbm (No. 127)
Symmetry-distinct sites (fractional):
Mn: 0.142 0.358 0.000 [4 per cell]
Nb: 0.000 0.000 0.000 [2 per cell]
V: 0.150 0.650 0.500 [4 per cell]

## Properties
Formation energy from the elements   0.1391 eV/atom

---

The following is a GGA-PBE calculation of ErBeAu after structural relaxation, from Alexandria via LeMat-Bulk.

a = 4.1877 Å, b = 4.1877 Å, c = 3.7229 Å
α = 90.00°, β = 90.00°, γ = 120.00°
Space group P-6m2 (No. 187)
Symmetry-distinct sites (fractional):
Er: 0.0000 0.0000 0.0000 [1 per cell]
Be: 0.3333 0.6667 0.5000 [1 per cell]
Au: 0.6667 0.3333 0.5000 [1 per cell]

## Properties
Energy relative to the lowest polymorph listed for this composition   8 meV/atom
Formation energy from the elements   -0.5244 eV/atom

---

The following is a GGA-PBE calculation of Sr2AgGe2 after structural relaxation, from Alexandria via LeMat-Bulk.

a = 6.228 Å, b = 6.228 Å, c = 7.850 Å
α = 90.00°, β = 90.00°, γ = 90.00°
Space group I4/mmm (No. 139)
Symmetry-distinct sites (fractional):
Sr: 0.000 0.500 0.250 [4 per cell]
Ag: 0.000 0.000 0.000 [2 per cell]
Ge: 0.000 0.000 0.342 [4 per cell]

## Properties
Energy relative to the lowest polymorph listed for this composition   350 meV/atom
Formation energy from the elements   -0.1679 eV/atom

---

The following is a GGA-PBE calculation of PrPaNi2 after structural relaxation, from Alexandria via LeMat-Bulk.

a = 3.451 Å, b = 3.451 Å, c = 6.971 Å
α = 90.00°, β = 90.00°, γ = 90.00°
Space group P4/mmm (No. 123)
Symmetry-distinct sites (fractional):
Pr: 0.000 0.000 0.000 [1 per cell]
Pa: 0.000 0.000 0.500 [1 per cell]
Ni: 0.500 0.500 0.311 [2 per cell]

## Properties
Energy relative to the lowest polymorph listed for this composition   0 meV/atom
Formation energy from the elements   -0.2539 eV/atom

---

The following is a GGA-PBE calculation of Cd2SiSnAs4 after structural relaxation, from Alexandria via LeMat-Bulk.

a = 5.913 Å, b = 5.913 Å, c = 12.368 Å
α = 90.00°, β = 90.00°, γ = 90.00°
Space group I-42m (No. 121)
Symmetry-distinct sites (fractional):
Cd: 0.000 0.500 0.250 [4 per cell]
Si: 0.000 0.000 0.000 [2 per cell]
Sn: 0.000 0.000 0.500 [2 per cell]
As: 0.228 0.228 0.881 [8 per cell]

## Properties
Formation energy (no corrections)   -0.0862 eV/atom

---

The following is a GGA-PBE calculation of KGa3F after structural relaxation, from Alexandria via LeMat-Bulk.

a = 6.138 Å, b = 6.138 Å, c = 6.138 Å
α = 90.00°, β = 90.00°, γ = 90.00°
Space group Pm-3m (No. 221)
Symmetry-distinct sites (fractional):
K: 0.000 0.000 0.000 [1 per cell]
Ga: 0.000 0.000 0.500 [3 per cell]
F: 0.500 0.500 0.500 [1 per cell]

## Properties
Energy relative to the lowest polymorph listed for this composition   1052 meV/atom
Formation energy (no corrections)   0.6731 eV/atom

---

The following is a GGA-PBE calculation of CsKZnPt2 after structural relaxation, from Alexandria via LeMat-Bulk.

a = 5.551 Å, b = 5.551 Å, c = 6.008 Å
α = 90.00°, β = 90.00°, γ = 90.00°
Space group P4/mmm (No. 123)
Symmetry-distinct sites (fractional):
Cs: 0.000 0.000 0.000 [1 per cell]
K: 0.500 0.500 0.500 [1 per cell]
Zn: 0.500 0.500 0.000 [1 per cell]
Pt: 0.000 0.500 0.500 [2 per cell]

## Properties
Formation energy from the elements   1.0319 eV/atom

---

The following is a GGA-PBE calculation of Sm2YAg3Te6 after structural relaxation, from Alexandria via LeMat-Bulk.

a = 19.905 Å, b = 4.445 Å, c = 8.525 Å
α = 90.00°, β = 103.08°, γ = 90.00°
Space group C2/m (No. 12)
Symmetry-distinct sites (fractional):
Sm: 0.172 0.000 0.307 [4 per cell]
Y: 0.000 0.500 0.000 [2 per cell]
Ag: 0.000 0.500 0.500 [2 per cell]
Ag: 0.207 0.000 0.769 [4 per cell]
Te: 0.011 0.000 0.259 [4 per cell]
Te: 0.159 0.500 0.040 [4 per cell]
Te: 0.162 0.500 0.570 [4 per cell]

## Properties
Formation energy (no corrections)   -0.8600 eV/atom

---

The following is a GGA-PBE calculation of Tb3TmMg12 after structural relaxation, from Alexandria via LeMat-Bulk.

a = 4.627 Å, b = 4.627 Å, c = 18.993 Å
α = 90.00°, β = 90.00°, γ = 90.00°
Space group P4/mmm (No. 123)
Symmetry-distinct sites (fractional):
Tb: 0.000 0.000 0.000 [1 per cell]
Tb: 0.000 0.000 0.251 [2 per cell]
Tm: 0.000 0.000 0.500 [1 per cell]
Mg: 0.000 0.500 0.126 [4 per cell]
Mg: 0.000 0.500 0.376 [4 per cell]
Mg: 0.500 0.500 0.000 [1 per cell]
Mg: 0.500 0.500 0.252 [2 per cell]
Mg: 0.500 0.500 0.500 [1 per cell]

## Properties
Formation energy from the elements   -0.0577 eV/atom

---

The following is a GGA-PBE calculation of ReSiBr2 after structural relaxation, from Alexandria via LeMat-Bulk.

a = 9.213 Å, b = 9.213 Å, c = 4.711 Å
α = 90.00°, β = 90.00°, γ = 90.00°
Space group I-42d (No. 122)
Symmetry-distinct sites (fractional):
Re: 0.000 0.000 0.000 [4 per cell]
Si: 0.000 0.000 0.500 [4 per cell]
Br: 0.110 0.250 0.125 [8 per cell]

## Properties
Energy relative to the lowest polymorph listed for this composition   377 meV/atom
Formation energy (no corrections)   0.5135 eV/atom

---

The following is a GGA-PBE calculation of CeGdThPb after structural relaxation, from Alexandria via LeMat-Bulk.

a = 7.814 Å, b = 7.814 Å, c = 7.814 Å
α = 90.00°, β = 90.00°, γ = 90.00°
Space group F-43m (No. 216)
Symmetry-distinct sites (fractional):
Ce: 0.000 0.000 0.000 [4 per cell]
Gd: 0.250 0.250 0.750 [4 per cell]
Th: 0.250 0.250 0.250 [4 per cell]
Pb: 0.000 0.000 0.500 [4 per cell]

## Properties
Formation energy from the elements   -0.0001 eV/atom

---

The following is a GGA-PBE calculation of KAs4Pt5 after structural relaxation, from Alexandria via LeMat-Bulk.

a = 7.439 Å, b = 12.224 Å, c = 4.408 Å
α = 90.00°, β = 90.00°, γ = 90.00°
Space group Pmmn (No. 59, origin choice 2)
Symmetry-distinct sites (fractional):
K: 0.250 0.250 0.042 [2 per cell]
As: 0.068 0.750 0.499 [4 per cell]
As: 0.250 0.521 0.765 [4 per cell]
Pt: 0.053 0.566 0.250 [8 per cell]
Pt: 0.250 0.750 0.003 [2 per cell]

## Properties
Formation energy from the elements   -0.2974 eV/atom

---

The following is a GGA-PBE calculation of PmGaCo2 after structural relaxation, from Alexandria via LeMat-Bulk.

a = 6.313 Å, b = 6.313 Å, c = 6.313 Å
α = 90.00°, β = 90.00°, γ = 90.00°
Space group Fm-3m (No. 225)
Symmetry-distinct sites (fractional):
Pm: 0.000 0.000 0.000 [4 per cell]
Ga: 0.000 0.000 0.500 [4 per cell]
Co: 0.250 0.250 0.250 [8 per cell]

## Properties
Formation energy from the elements   -0.0917 eV/atom

---

The following is a GGA-PBE calculation of Nd2Dy4Ho5 after structural relaxation, from Alexandria via LeMat-Bulk.

a = 3.492 Å, b = 9.028 Å, c = 23.197 Å
α = 90.00°, β = 90.00°, γ = 90.00°
Space group Immm (No. 71)
Symmetry-distinct sites (fractional):
Nd: 0.000 0.000 0.232 [4 per cell]
Dy: 0.000 0.000 0.097 [4 per cell]
Dy: 0.000 0.309 0.500 [4 per cell]
Ho: 0.000 0.194 0.359 [8 per cell]
Ho: 0.000 0.500 0.000 [2 per cell]

## Properties
Energy relative to the lowest polymorph listed for this composition   160 meV/atom
Formation energy from the elements   0.2136 eV/atom

---

The following is a GGA-PBE calculation of Li3InAu after structural relaxation, from Alexandria via LeMat-Bulk.

a = 6.344 Å, b = 4.294 Å, c = 6.417 Å
α = 90.00°, β = 91.13°, γ = 90.00°
Space group P2_1/m (No. 11)
Symmetry-distinct sites (fractional):
Li: 0.137 0.250 0.049 [2 per cell]
Li: 0.234 0.750 0.725 [2 per cell]
Li: 0.308 0.250 0.443 [2 per cell]
In: 0.453 0.750 0.158 [2 per cell]
Au: 0.044 0.750 0.335 [2 per cell]

## Properties
Energy relative to the lowest polymorph listed for this composition   0 meV/atom
Formation energy from the elements   -0.3946 eV/atom

---

The following is a GGA-PBE calculation of HfCd3Pb after structural relaxation, from Alexandria via LeMat-Bulk.

a = 5.453 Å, b = 5.453 Å, c = 5.453 Å
α = 90.00°, β = 90.00°, γ = 90.00°
Space group Pm-3m (No. 221)
Symmetry-distinct sites (fractional):
Hf: 0.000 0.000 0.000 [1 per cell]
Cd: 0.000 0.500 0.500 [3 per cell]
Pb: 0.500 0.500 0.500 [1 per cell]

## Properties
Energy relative to the lowest polymorph listed for this composition   314 meV/atom
Formation energy from the elements   1.1110 eV/atom

---

The following is a GGA-PBE calculation of InHI3 after structural relaxation, from Alexandria via LeMat-Bulk.

a = 8.804 Å, b = 6.528 Å, c = 14.317 Å
α = 90.00°, β = 90.00°, γ = 90.00°
Space group Cmc2_1 (No. 36)
Symmetry-distinct sites (fractional):
In: 0.000 0.171 0.000 [4 per cell]
H: 0.000 0.080 0.536 [4 per cell]
I: 0.000 0.498 0.116 [4 per cell]
I: 0.245 0.220 0.866 [8 per cell]

## Properties
Energy relative to the lowest polymorph listed for this composition   75 meV/atom

---

The following is a GGA-PBE calculation of LuNiGe2 after structural relaxation, from Alexandria via LeMat-Bulk.

a = 4.114 Å, b = 8.471 Å, c = 15.853 Å
α = 90.00°, β = 90.00°, γ = 90.00°
Space group Immm (No. 71)
Symmetry-distinct sites (fractional):
Lu: 0.000 0.000 0.203 [4 per cell]
Lu: 0.000 0.239 0.000 [4 per cell]
Ni: 0.000 0.252 0.353 [8 per cell]
Ge: 0.000 0.000 0.420 [4 per cell]
Ge: 0.000 0.342 0.197 [8 per cell]
Ge: 0.000 0.500 0.423 [4 per cell]

## Properties
Formation energy from the elements   -0.6587 eV/atom

---

| no. | M_tot (μB per atom) | total DFT energy (no corrections) (eV per atom) |
| --- | --- | --- |
| 1 | 0.0000 | -4.67 |
| 2 | 0.0000 | -6.36 |
| 3 | 0.0000 | -7.63 |
| 4 | 0.1113 | -2.97 |
| 5 | 0.0000 | -5.11 |
| 6 | 0.0000 | -6.33 |
| 7 | 0.0369 | -9.19 |
| 8 | 0.0000 | -4.38 |
| 9 | 0.0000 | -3.26 |
| 10 | 0.0000 | -6.71 |
| 11 | 0.0000 | -3.82 |
| 12 | 0.0000 | -1.74 |
| 13 | 0.0000 | -2.03 |
| 14 | 0.0000 | -4.47 |
| 15 | 0.0000 | -2.40 |
| 16 | 0.0001 | -4.79 |
| 17 | 1.4983 | -7.79 |
| 18 | 0.0000 | -5.29 |
| 19 | 0.0000 | -5.59 |
| 20 | 0.0001 | -4.41 |
| 21 | 0.0000 | -2.75 |
| 22 | 0.0000 | -2.17 |
| 23 | 0.0000 | -2.31 |
| 24 | 0.0000 | -5.54 |